# 1
This record from the Alexandria database describes a relaxed AcPaS6 crystal. The functional is PBE.

For the energy relative to the elements, uncorrected, the calculation gives -5.41 eV per formula unit.

It has space group Fm-3m (No. 225), with a = 11.1207 Å, b = 11.1207 Å, c = 11.1207 Å, α = 90.00°, β = 90.00° and γ = 90.00°. The distinct sites, in fractional coordinates, are Ac at (0.0000, 0.0000, 0.0000), Pa at (0.0000, 0.0000, 0.5000) and S at (0.0000, 0.0000, 0.2668).

# 2
This record from the Alexandria database describes a relaxed PrNd12Dy7 crystal. The functional is PBE.

The relative energy among the computed polymorphs comes out at 0.000 eV/atom. For the formation energy, the calculation gives 0.1500 eV per atom.

It has space group R-3 (No. 148, hexagonal axes), with a = 15.2978 Å, b = 15.2978 Å, c = 10.1916 Å, α = 90.00°, β = 90.00° and γ = 120.00°. The distinct sites, in fractional coordinates, are Pr at (0.0000, 0.0000, 0.0000), Nd at (0.0447, 0.8436, 0.2515), Nd at (0.0470, 0.7997, 0.5769), Dy at (0.0000, 0.0000, 0.5000) and Dy at (0.0659, 0.8198, 0.9253).

# 3
This record from the Alexandria database describes a relaxed Ac2Zn7Pd crystal. The functional is PBE.

For the formation energy, the calculation gives -0.3675 eV per atom.

It has space group P-4m2 (No. 115), with a = 4.4974 Å, b = 4.4974 Å, c = 10.3494 Å, α = 90.00°, β = 90.00° and γ = 90.00°. The distinct sites, in fractional coordinates, are Ac at (0.0000, 0.5000, 0.2458), Zn at (0.0000, 0.0000, 0.0000), Zn at (0.0000, 0.0000, 0.5000), Zn at (0.0000, 0.5000, 0.6265), Zn at (0.0000, 0.5000, 0.8746), Zn at (0.5000, 0.5000, 0.5000) and Pd at (0.5000, 0.5000, 0.0000).

# 4
This record from the Alexandria database describes a relaxed CdCu6Au8 crystal. The functional is PBE.

For the formation energy, the calculation gives 0.0238 eV per atom.

It has space group R-3 (No. 148, hexagonal axes), with a = 7.4940 Å, b = 7.4940 Å, c = 15.9122 Å, α = 90.00°, β = 90.00° and γ = 120.00°. The distinct sites, in fractional coordinates, are Cd at (0.0000, 0.0000, 0.0000), Cu at (0.0048, 0.7030, 0.2863), Au at (0.0000, 0.0000, 0.3753) and Au at (0.0090, 0.7004, 0.1201).

# 5
This record from the Alexandria database describes a relaxed PrSmLuMg crystal. The functional is PBE.

For the formation energy, the calculation gives 0.0059 eV per atom.

It has space group F-43m (No. 216), with a = 7.8717 Å, b = 7.8717 Å, c = 7.8717 Å, α = 90.00°, β = 90.00° and γ = 90.00°. The distinct sites, in fractional coordinates, are Pr at (0.0000, 0.0000, 0.0000), Sm at (0.0000, 0.0000, 0.5000), Lu at (0.2500, 0.2500, 0.7500) and Mg at (0.2500, 0.2500, 0.2500).

# 6
This record from the Alexandria database describes a relaxed Sc2H8Ru crystal. The functional is PBE.

The value obtained for the uncorrected energy is -4.770 eV per atom.

It has space group C2/m (No. 12), with a = 12.8176 Å, b = 3.2847 Å, c = 4.0088 Å, α = 90.00°, β = 108.14° and γ = 90.00°. The distinct sites, in fractional coordinates, are Sc at (0.1497, 0.0000, 0.1489), H at (0.0001, 0.0000, 0.2738), H at (0.1160, 0.5000, 0.8537), H at (0.1165, 0.5000, 0.3801), H at (0.2390, 0.0000, 0.7397) and Ru at (0.0000, 0.5000, 0.5000).

# 7
This record from the Alexandria database describes a relaxed BaLa2Cd crystal. The functional is PBE.

The relative energy among the computed polymorphs comes out at 0.143 eV/atom. For the formation energy, the calculation gives 0.0368 eV per atom.

It has space group R3m (No. 160, hexagonal axes), with a = 3.9098 Å, b = 3.9098 Å, c = 35.6803 Å, α = 90.00°, β = 90.00° and γ = 120.00°. The distinct sites, in fractional coordinates, are Ba at (0.0000, 0.0000, 0.0000), La at (0.0000, 0.0000, 0.5700), La at (0.0000, 0.0000, 0.7645) and Cd at (0.0000, 0.0000, 0.1672).

# 8
This record from the Alexandria database describes a relaxed Sm2YBi3 crystal. The functional is PBE.

For the formation energy, the calculation gives -0.9148 eV per atom.

It has space group Immm (No. 71), with a = 4.5350 Å, b = 6.4106 Å, c = 13.6029 Å, α = 90.00°, β = 90.00° and γ = 90.00°. The distinct sites, in fractional coordinates, are Sm at (0.0000, 0.0000, 0.1675), Y at (0.0000, 0.0000, 0.5000), Bi at (0.0000, 0.5000, 0.1641) and Bi at (0.0000, 0.5000, 0.5000).